First-principles (PBE-GGA) data for crystalline LiLuPaMo at its relaxed geometry, as listed in Alexandria.

Geometry as POSCAR:
```
LiLuPaMo
1.0
4.901 0.000 0.000
2.451 4.244 0.000
2.451 1.415 4.002
Pa Mo Li Lu
1 1 1 1
Direct
0.750 0.750 0.750 Pa
0.500 0.500 0.500 Mo
0.000 0.000 0.000 Li
0.250 0.250 0.250 Lu
```

Symmetry   F-43m, No. 216
Magnetic moment   0.000 μB/atom
Total energy   -6.508 eV/atom



First-principles (PBE-GGA) data for crystalline LiLuScMo at its relaxed geometry, as listed in Alexandria.

Geometry as POSCAR:
```
LiLuScMo
1.0
-4.433 -0.541 -1.820
-3.627 -1.390 2.858
-3.483 3.124 1.167
Sc Mo Li Lu
1 1 1 1
Direct
0.000 0.000 0.000 Sc
0.250 0.250 0.250 Mo
0.750 0.750 0.750 Li
0.500 0.500 0.500 Lu
```

Symmetry   F-43m, No. 216
Magnetic moment   0.027 μB/atom
Total energy   -5.675 eV/atom



First-principles (PBE-GGA) data for crystalline LiTbLuMo at its relaxed geometry, as listed in Alexandria.

Geometry as POSCAR:
```
LiTbLuMo
1.0
4.979 0.000 0.000
2.489 4.312 0.000
2.489 1.437 4.065
Tb Mo Li Lu
1 1 1 1
Direct
0.000 0.000 0.000 Tb
0.750 0.750 0.750 Mo
0.250 0.250 0.250 Li
0.500 0.500 0.500 Lu
```

Symmetry   F-43m, No. 216
Magnetic moment   0.265 μB/atom
Total energy   -5.221 eV/atom



First-principles (PBE-GGA) data for crystalline LiLuTcMo at its relaxed geometry, as listed in Alexandria.

Geometry as POSCAR:
```
LiLuTcMo
1.0
-0.466 -2.947 -3.445
3.685 -1.549 -2.188
1.303 -4.336 0.519
Lu Mo Tc Li
1 1 1 1
Direct
0.000 0.000 0.000 Lu
0.500 0.500 0.500 Mo
0.750 0.750 0.750 Tc
0.250 0.250 0.250 Li
```

Symmetry   F-43m, No. 216
Magnetic moment   0.000 μB/atom
Total energy   -6.813 eV/atom



First-principles (PBE-GGA) data for crystalline LiLuZrMo at its relaxed geometry, as listed in Alexandria.

Geometry as POSCAR:
```
LiLuZrMo
1.0
-2.847 3.839 0.446
-2.940 0.382 3.775
0.884 3.260 3.411
Zr Mo Lu Li
1 1 1 1
Direct
0.250 0.250 0.250 Zr
0.500 0.500 0.500 Mo
0.750 0.750 0.750 Lu
0.000 0.000 0.000 Li
```

Symmetry   F-43m, No. 216
Magnetic moment   0.000 μB/atom
Total energy   -6.322 eV/atom



First-principles (PBE-GGA) data for crystalline LiLu3N at its relaxed geometry, as listed in Alexandria.

Geometry as POSCAR:
```
LiLu3N
1.0
-3.475 -1.064 -3.012
-0.627 -4.136 2.186
-3.132 2.009 2.904
Lu N Li
3 1 1
Direct
0.500 0.000 0.000 Lu
0.000 0.500 0.000 Lu
0.000 0.000 0.500 Lu
0.000 0.000 0.000 N
0.500 0.500 0.500 Li
```

E_form (uncorrected)   -586.9 meV/atom
Symmetry   Pm-3m, No. 221
Magnetic moment   0.001 μB/atom
Total energy   -5.347 eV/atom



First-principles (PBE-GGA) data for crystalline Na2LiLu at its relaxed geometry, as listed in Alexandria.

Geometry as POSCAR:
```
Na2LiLu
1.0
-3.215 0.942 0.212
-1.648 -0.299 2.909
1.941 11.657 4.234
Na Lu Li
2 1 1
Direct
0.090 0.090 0.729 Na
0.910 0.910 0.271 Na
0.000 0.000 0.000 Lu
0.500 0.500 0.500 Li
```

Symmetry   R-3m, No. 166
Magnetic moment   0.000 μB/atom
Total energy   -2.020 eV/atom



First-principles (PBE-GGA) data for crystalline NaLiLuPb at its relaxed geometry, as listed in Alexandria.

Geometry as POSCAR:
```
NaLiLuPb
1.0
5.223 0.000 0.000
2.612 4.523 0.000
2.612 1.508 4.265
Pb Na Li Lu
1 1 1 1
Direct
0.500 0.500 0.500 Pb
0.250 0.250 0.250 Na
0.000 0.000 0.000 Li
0.750 0.750 0.750 Lu
```

Symmetry   F-43m, No. 216
Magnetic moment   0.001 μB/atom
Total energy   -2.985 eV/atom



First-principles (PBE-GGA) data for crystalline NaLiLuTl at its relaxed geometry, as listed in Alexandria.

Geometry as POSCAR:
```
NaLiLuTl
1.0
-1.243 -0.610 4.982
1.790 -4.075 2.631
3.592 0.661 3.661
Tl Lu Na Li
1 1 1 1
Direct
0.500 0.500 0.500 Tl
0.250 0.250 0.250 Lu
0.750 0.750 0.750 Na
0.000 0.000 0.000 Li
```

Symmetry   F-43m, No. 216
Magnetic moment   0.000 μB/atom
Total energy   -2.563 eV/atom



First-principles (PBE-GGA) data for crystalline LiLu2Nb at its relaxed geometry, as listed in Alexandria.

Geometry as POSCAR:
```
LiLu2Nb
1.0
3.301 0.000 0.000
0.000 3.301 0.000
0.000 0.000 8.792
Lu Nb Li
2 1 1
Direct
0.000 0.000 0.232 Lu
0.000 0.000 0.768 Lu
0.500 0.500 0.000 Nb
0.500 0.500 0.500 Li
```

Symmetry   P4/mmm, No. 123
Magnetic moment   0.000 μB/atom
Total energy   -5.079 eV/atom



First-principles (PBE-GGA) data for crystalline LiLuNbRe at its relaxed geometry, as listed in Alexandria.

Geometry as POSCAR:
```
LiLuNbRe
1.0
4.646 0.000 0.000
2.323 4.024 0.000
2.323 1.341 3.793
Re Li Lu Nb
1 1 1 1
Direct
0.500 0.500 0.500 Re
0.000 0.000 0.000 Li
0.750 0.750 0.750 Lu
0.250 0.250 0.250 Nb
```

Symmetry   F-43m, No. 216
Magnetic moment   0.000 μB/atom
Total energy   -7.211 eV/atom



First-principles (PBE-GGA) data for crystalline LiLuNbRu at its relaxed geometry, as listed in Alexandria.

Geometry as POSCAR:
```
LiLuNbRu
1.0
-1.183 2.249 -3.862
-0.773 -2.356 -3.902
-4.297 -0.368 -1.665
Nb Lu Li Ru
1 1 1 1
Direct
0.000 0.000 0.000 Nb
0.500 0.500 0.500 Lu
0.250 0.250 0.250 Li
0.750 0.750 0.750 Ru
```

Symmetry   F-43m, No. 216
Magnetic moment   0.000 μB/atom
Total energy   -6.570 eV/atom



Let's list DOS at the Fermi energy in order: 3.6, 6.1, 6.0, 2.4, 3.5, 5.8, 3.8, 3.2, 2.8, 5.8, 3.8, 2.3 states/eV/cell.